Density functional theory data (GGA-PBE) for a geometry-optimized CaSc4Cu structure.

a b c (Å): 8.524 8.524 8.524
angles (deg): 90.00 90.00 90.00
Space group F-43m (No. 216)
One atom of each set of equivalent atoms:
Ca: 0.000 0.000 0.000 [4 per cell]
Sc: 0.124 0.124 0.376 [16 per cell]
Cu: 0.250 0.250 0.750 [4 per cell]

Computed properties:
Its total energy is -115.06 eV/cell. Its energy of formation is 443.3 meV/atom.

=====

Density functional theory data (GGA-PBE) for a geometry-optimized AlTeI2O structure.

a b c (Å): 6.263 6.263 4.100
angles (deg): 90.00 90.00 90.00
Space group P4/mmm (No. 123)
One atom of each set of equivalent atoms:
Al: 0.000 0.000 0.000 [1 per cell]
Te: 0.500 0.500 0.500 [1 per cell]
I: 0.000 0.500 0.500 [2 per cell]
O: 0.500 0.500 0.000 [1 per cell]

Computed properties:
Its total energy is -15.33 eV/cell. The uncorrected formation energy is -77 meV per atom. The value obtained for the energy above the most stable polymorph in this dataset is 530 meV per atom.

=====

Density functional theory data (GGA-PBE) for a geometry-optimized AcNd7Sm4 structure.

a b c (Å): 16.330 6.236 9.534
angles (deg): 90.00 116.30 90.00
Space group C2/m (No. 12)
One atom of each set of equivalent atoms:
Ac: 0.000 0.000 0.000 [2 per cell]
Nd: 0.000 0.500 0.000 [2 per cell]
Nd: 0.090 0.000 0.461 [4 per cell]
Nd: 0.215 0.000 0.892 [4 per cell]
Nd: 0.226 0.000 0.259 [4 per cell]
Sm: 0.067 0.500 0.701 [4 per cell]
Sm: 0.168 0.500 0.360 [4 per cell]

Computed properties:
Its total energy is -107.33 eV/cell. Its energy of formation is 224.5 meV/atom. The value obtained for the energy above the most stable polymorph in this dataset is 213 meV per atom.

=====

Density functional theory data (GGA-PBE) for a geometry-optimized CuIBr2 structure.

a b c (Å): 11.413 5.138 5.427
angles (deg): 90.00 117.84 90.00
Space group C2/m (No. 12)
One atom of each set of equivalent atoms:
Cu: 0.000 0.000 0.000 [2 per cell]
I: 0.000 0.500 0.500 [2 per cell]
Br: 0.226 0.000 0.229 [4 per cell]

Computed properties:
Its total energy is -16.88 eV/cell. The uncorrected formation energy is 139 meV per atom. The value obtained for the energy above the most stable polymorph in this dataset is 292 meV per atom.

=====

Density functional theory data (GGA-PBE) for a geometry-optimized Sr3Ag4Au4 structure.

a b c (Å): 4.111 4.514 15.336
angles (deg): 98.35 97.48 90.03
Space group P-1 (No. 2)
One atom of each set of equivalent atoms:
Sr: 0.000 0.000 0.000 [1 per cell]
Sr: 0.150 0.646 0.294 [2 per cell]
Ag: 0.254 0.254 0.507 [2 per cell]
Ag: 0.398 0.904 0.805 [2 per cell]
Au: 0.309 0.812 0.624 [2 per cell]
Au: 0.455 0.454 0.908 [2 per cell]

Computed properties:
Its total energy is -34.62 eV/cell. Its energy of formation is -460.4 meV/atom.

=====

Density functional theory data (GGA-PBE) for a geometry-optimized Tm3Mn3Ga2Si structure.

a b c (Å): 7.0211 7.0211 3.8501
angles (deg): 90.00 90.00 120.00
Space group P-62m (No. 189)
One atom of each set of equivalent atoms:
Tm: 0.0000 0.5951 0.0000 [3 per cell]
Mn: 0.0000 0.2207 0.5000 [3 per cell]
Ga: 0.3333 0.6667 0.5000 [2 per cell]
Si: 0.0000 0.0000 0.0000 [1 per cell]

Computed properties:
Its total energy is -55.76 eV/cell. The uncorrected formation energy is -373 meV per atom.

=====

Density functional theory data (GGA-PBE) for a geometry-optimized Tb3NdSmDy structure.

a b c (Å): 19.983 5.680 6.993
angles (deg): 90.00 90.20 90.00
Space group C2/m (No. 12)
One atom of each set of equivalent atoms:
Tb: 0.022 0.000 0.242 [4 per cell]
Tb: 0.165 0.500 0.235 [4 per cell]
Tb: 0.220 0.500 0.746 [4 per cell]
Nd: 0.146 0.000 0.527 [4 per cell]
Sm: 0.055 0.500 0.760 [4 per cell]
Dy: 0.149 0.000 0.961 [4 per cell]

Computed properties:
Its total energy is -107.37 eV/cell. Its energy of formation is 189.4 meV/atom.

=====

Density functional theory data (GGA-PBE) for a geometry-optimized Pa2AlMo structure.

a b c (Å): 3.1039 3.1039 32.4625
angles (deg): 90.00 90.00 120.00
Space group R-3m (No. 166, hexagonal axes)
One atom of each set of equivalent atoms:
Pa: 0.0000 0.0000 0.0951 [6 per cell]
Al: 0.0000 0.0000 0.0000 [3 per cell]
Mo: 0.0000 0.0000 0.5000 [3 per cell]

Computed properties:
Its total energy is -95.74 eV/cell. Its energy of formation is 413.2 meV/atom. The value obtained for the energy above the most stable polymorph in this dataset is 462 meV per atom.

=====

Density functional theory data (GGA-PBE) for a geometry-optimized Eu2CdPd structure.

a b c (Å): 3.766 3.766 7.594
angles (deg): 90.00 90.00 90.00
Space group P4/mmm (No. 123)
One atom of each set of equivalent atoms:
Eu: 0.000 0.000 0.227 [2 per cell]
Cd: 0.500 0.500 0.500 [1 per cell]
Pd: 0.500 0.500 0.000 [1 per cell]

Computed properties:
Its total energy is -28.65 eV/cell. Its energy of formation is -499.2 meV/atom. The value obtained for the energy above the most stable polymorph in this dataset is 0 meV per atom.

=====

Density functional theory data (GGA-PBE) for a geometry-optimized Pu12Hg3H5 structure.

a b c (Å): 14.476 14.476 14.476
angles (deg): 90.00 90.00 90.00
Space group Ia-3d (No. 230)
One atom of each set of equivalent atoms:
Pu: 0.050 0.110 0.913 [96 per cell]
Hg: 0.000 0.250 0.125 [24 per cell]
H: 0.000 0.000 0.000 [16 per cell]
H: 0.000 0.250 0.375 [24 per cell]

Computed properties:
Its total energy is -1453.15 eV/cell.

=====

Density functional theory data (GGA-PBE) for a geometry-optimized Mg2TlPb structure.

a b c (Å): 4.753 4.753 20.082
angles (deg): 90.00 90.00 90.00
Space group I-42d (No. 122)
One atom of each set of equivalent atoms:
Mg: 0.240 0.250 0.125 [8 per cell]
Tl: 0.000 0.000 0.000 [4 per cell]
Pb: 0.000 0.000 0.500 [4 per cell]

Computed properties:
Its total energy is -35.52 eV/cell. Its energy of formation is 96.0 meV/atom. The value obtained for the energy above the most stable polymorph in this dataset is 147 meV per atom.

=====

Density functional theory data (GGA-PBE) for a geometry-optimized TmGaPd6 structure.

a b c (Å): 8.006 5.421 7.323
angles (deg): 90.00 111.89 90.00
Space group C2/m (No. 12)
One atom of each set of equivalent atoms:
Tm: 0.000 0.000 0.000 [2 per cell]
Ga: 0.000 0.500 0.500 [2 per cell]
Pd: 0.157 0.000 0.444 [4 per cell]
Pd: 0.184 0.243 0.791 [8 per cell]

Computed properties:
Its total energy is -83.50 eV/cell. Its energy of formation is -387.0 meV/atom. The value obtained for the energy above the most stable polymorph in this dataset is 301 meV per atom.

=====

Density functional theory data (GGA-PBE) for a geometry-optimized LaAuBr4 structure.

a b c (Å): 8.704 8.704 8.704
angles (deg): 90.00 90.00 90.00
Space group F-43m (No. 216)
One atom of each set of equivalent atoms:
La: 0.000 0.000 0.000 [4 per cell]
Au: 0.250 0.250 0.750 [4 per cell]
Br: 0.125 0.125 0.375 [16 per cell]

Computed properties:
Its total energy is -64.46 eV/cell. The uncorrected formation energy is -203 meV per atom. The value obtained for the energy above the most stable polymorph in this dataset is 1106 meV per atom.

=====

Density functional theory data (GGA-PBE) for a geometry-optimized Pu2AlN structure.

a b c (Å): 3.3684 3.3684 24.6976
angles (deg): 90.00 90.00 120.00
Space group R-3m (No. 166, hexagonal axes)
One atom of each set of equivalent atoms:
Pu: 0.0000 0.0000 0.2251 [6 per cell]
Al: 0.0000 0.0000 0.0000 [3 per cell]
N: 0.0000 0.0000 0.5000 [3 per cell]

Computed properties:
Its total energy is -128.13 eV/cell. The uncorrected formation energy is -495 meV per atom.

=====

Density functional theory data (GGA-PBE) for a geometry-optimized CuRuPtRh structure.

a b c (Å): 6.150 6.150 6.150
angles (deg): 90.00 90.00 90.00
Space group F-43m (No. 216)
One atom of each set of equivalent atoms:
Cu: 0.000 0.000 0.000 [4 per cell]
Ru: 0.000 0.000 0.500 [4 per cell]
Pt: 0.250 0.250 0.750 [4 per cell]
Rh: 0.250 0.250 0.250 [4 per cell]

Computed properties:
Its total energy is -103.11 eV/cell. Its energy of formation is 246.5 meV/atom.

=====

Density functional theory data (GGA-PBE) for a geometry-optimized Pm2ThSn structure.

a b c (Å): 4.965 4.965 4.828
angles (deg): 90.00 90.00 90.00
Space group P4/mmm (No. 123)
One atom of each set of equivalent atoms:
Pm: 0.000 0.500 0.000 [2 per cell]
Th: 0.000 0.000 0.500 [1 per cell]
Sn: 0.500 0.500 0.500 [1 per cell]

Computed properties:
Its total energy is -22.47 eV/cell. Its energy of formation is -386.8 meV/atom. The value obtained for the energy above the most stable polymorph in this dataset is 0 meV per atom.

=====

Density functional theory data (GGA-PBE) for a geometry-optimized HgMoSe2 structure.

a b c (Å): 11.106 3.204 6.630
angles (deg): 90.00 117.22 90.00
Space group Cm (No. 8)
One atom of each set of equivalent atoms:
Hg: 0.000 0.000 0.000 [2 per cell]
Mo: 0.283 0.000 0.004 [2 per cell]
Se: 0.122 0.500 0.724 [2 per cell]
Se: 0.276 0.500 0.285 [2 per cell]

Computed properties:
Its total energy is -36.82 eV/cell. The uncorrected formation energy is -77 meV per atom.

=====

Density functional theory data (GGA-PBE) for a geometry-optimized Mn2InMo structure.

a b c (Å): 2.8994 2.8994 25.9044
angles (deg): 90.00 90.00 120.00
Space group R3m (No. 160, hexagonal axes)
One atom of each set of equivalent atoms:
Mn: 0.0000 0.0000 0.0000 [3 per cell]
Mn: 0.0000 0.0000 0.2600 [3 per cell]
In: 0.0000 0.0000 0.5016 [3 per cell]
Mo: 0.0000 0.0000 0.7393 [3 per cell]

Computed properties:
Its total energy is -90.49 eV/cell. Its energy of formation is 436.6 meV/atom.

=====

Density functional theory data (GGA-PBE) for a geometry-optimized LiBi2Pd6 structure.

a b c (Å): 9.255 5.674 6.428
angles (deg): 90.00 104.70 90.00
Space group C2/m (No. 12)
One atom of each set of equivalent atoms:
Li: 0.000 0.000 0.000 [2 per cell]
Bi: 0.168 0.500 0.807 [4 per cell]
Pd: 0.101 0.248 0.361 [8 per cell]
Pd: 0.175 0.000 0.750 [4 per cell]

Computed properties:
Its total energy is -86.21 eV/cell. Its energy of formation is -252.4 meV/atom. The value obtained for the energy above the most stable polymorph in this dataset is 78 meV per atom.